Record 1
A relaxed structure of AcPrPb2. Source: the Alexandria database, functional GGA-PBE.

Computed properties:
- Space group: P4/mmm (123)
- Calculated formation energy: -482 meV/atom

abc: 4.689 5.323 5.323
angles: 90.00 90.00 90.00
Fractional positions:
Pb 0.000 0.500 0.000
Pb 0.000 0.000 0.500
Ac 0.500 0.500 0.500
Pr 0.500 0.000 0.000

Record 2
A relaxed structure of Ba3NaO2. Source: the Alexandria database, functional GGA-PBE.

Computed properties:
- Raw total energy: -26.871 eV/f.u.
- Space group: P2_1/m (11)

abc: 6.654 9.002 8.987
angles: 105.11 90.00 90.00
Fractional positions:
Ba 0.750 0.672 0.360
Ba 0.250 0.328 0.640
Ba 0.250 0.858 0.177
Ba 0.750 0.583 0.918
Ba 0.250 0.417 0.082
Ba 0.750 0.142 0.823
O 0.000 0.347 0.845
O 0.500 0.653 0.155
O 0.500 0.347 0.845
O 0.000 0.653 0.155
Na 0.250 0.831 0.675
Na 0.750 0.169 0.325

Record 3
A relaxed structure of Y2ZrTe. Source: the Alexandria database, functional GGA-PBE.

Computed properties:
- Raw total energy: -26.118 eV/f.u.
- Space group: Imm2 (44)

abc: 6.433 6.433 6.433
angles: 147.24 129.11 61.85
Fractional positions:
Y 0.020 0.020 0.000
Y 0.739 0.239 0.500
Te 0.263 0.763 0.500
Zr 0.478 0.478 0.000

Record 4
A relaxed structure of Zr2TiTl2. Source: the Alexandria database, functional GGA-PBE.

Computed properties:
- Space group: P4/mbm (127)
- Calculated formation energy: 88 meV/atom

abc: 7.512 7.512 4.057
angles: 90.00 90.00 90.00
Each line ends with the local moment (μB).
Fractional positions:
Tl 0.863 0.637 0.000  0.00
Tl 0.137 0.363 0.000  0.00
Tl 0.637 0.137 0.000  0.00
Tl 0.363 0.863 0.000  0.00
Zr 0.170 0.670 0.500  0.17
Zr 0.670 0.830 0.500  0.17
Zr 0.330 0.170 0.500  0.17
Zr 0.830 0.330 0.500  0.17
Ti 0.000 0.000 0.000  1.08
Ti 0.500 0.500 0.000  1.08

Record 5
A relaxed structure of TeOs2W. Source: the Alexandria database, functional GGA-PBE.

Computed properties:
- Raw total energy: -35.213 eV/f.u.
- Space group: I-4m2 (119)

abc: 4.959 4.959 4.959
angles: 132.43 132.43 69.55
Fractional positions:
W 0.750 0.250 0.500
Os 0.250 0.750 0.500
Os 0.000 0.000 0.000
Te 0.500 0.500 0.000

Record 6
A relaxed structure of Nb14PtW. Source: the Alexandria database, functional GGA-PBE.

Computed properties:
- Space group: Cmmm (65)
- Calculated formation energy: -118 meV/atom

abc: 5.749 5.749 9.208
angles: 90.00 90.00 110.23
Fractional positions:
Nb 0.880 0.630 0.746
Nb 0.125 0.875 0.000
Nb 0.874 0.126 0.747
Nb 0.370 0.120 0.254
Nb 0.625 0.375 0.000
Nb 0.376 0.624 0.253
Nb 0.125 0.375 0.500
Nb 0.625 0.875 0.500
Nb 0.625 0.875 0.000
Nb 0.880 0.630 0.254
Nb 0.370 0.120 0.746
Nb 0.874 0.126 0.253
Nb 0.376 0.624 0.747
Nb 0.125 0.375 0.000
Pt 0.625 0.375 0.500
W 0.125 0.875 0.500

Record 7
A relaxed structure of Ca2AlZnN. Source: the Alexandria database, functional GGA-PBE.

Computed properties:
- Raw total energy: -19.733 eV/f.u.
- Space group: P4/mmm (123)

abc: 5.048 5.048 3.844
angles: 90.00 90.00 90.00
Fractional positions:
N 0.000 0.000 0.000
Zn 0.500 0.500 0.500
Al 0.000 0.000 0.500
Ca 0.500 0.000 0.000
Ca 0.000 0.500 0.000

Record 8
A relaxed structure of LiTl2Hg. Source: the Alexandria database, functional GGA-PBE.

Computed properties:
- Space group: Immm (71)
- Calculated formation energy: -80 meV/atom

abc: 6.115 6.115 6.115
angles: 144.48 129.09 63.61
Fractional positions:
Tl 0.025 0.025 0.000
Tl 0.475 0.475 0.000
Li 0.250 0.750 0.500
Hg 0.750 0.250 0.500

Record 9
A relaxed structure of SnPt3Pb. Source: the Alexandria database, functional GGA-PBE.

Computed properties:
- Space group: Pm-3m (221)
- Calculated formation energy: 871 meV/atom

abc: 5.085 5.085 5.085
angles: 90.00 90.00 90.00
Fractional positions:
Pt 0.000 0.500 0.000
Pt 0.500 0.000 0.000
Pt 0.000 0.000 0.500
Pb 0.000 0.000 0.000
Sn 0.500 0.500 0.500

Record 10
A relaxed structure of ThTe2H. Source: the Alexandria database, functional GGA-PBE.

Computed properties:
- Raw total energy: -20.095 eV/f.u.
- Space group: Cm (8)

abc: 4.209 4.209 7.303
angles: 97.92 98.14 121.01
Fractional positions:
Te 0.526 0.083 0.609
Te 0.229 0.787 0.016
H 0.040 0.273 0.312
Th 0.705 0.607 0.312

Record 11
A relaxed structure of LaIr2Os. Source: the Alexandria database, functional GGA-PBE.

Computed properties:
- Space group: Pm (6)
- Calculated formation energy: 69 meV/atom

abc: 4.543 2.891 5.635
angles: 80.00 90.00 90.00
Fractional positions:
Ir 0.000 0.140 0.953
Ir 0.500 0.088 0.241
Os 0.500 0.732 0.842
La 0.000 0.541 0.465

Record 12
A relaxed structure of FeCo2Mo. Source: the Alexandria database, functional GGA-PBE.

Computed properties:
- Space group: P4mm (99)
- Calculated formation energy: 106 meV/atom

abc: 2.586 2.586 7.433
angles: 90.00 90.00 90.00
Each line ends with the local moment (μB).
Fractional positions:
Co 0.500 0.500 0.240  1.68
Co 0.000 0.000 0.026  1.43
Fe 0.000 0.000 0.477  2.47
Mo 0.500 0.500 0.757  0.01

Record 13
A relaxed structure of Cs2PmCu2O4. Source: the Alexandria database, functional GGA-PBE.

Computed properties:
- Raw total energy: -47.489 eV/f.u.
- Space group: C2/m (12)

abc: 3.629 6.873 7.224
angles: 106.08 104.55 90.00
Each line ends with the local moment (μB).
Fractional positions:
Cs 0.865 0.436 0.729  0.00
Cs 0.135 0.564 0.271  0.00
O 0.469 0.200 0.938  0.06
O 0.185 0.122 0.371  0.13
O 0.815 0.878 0.629  0.13
O 0.531 0.800 0.062  0.06
Pm 0.000 0.000 0.000  -0.01
Cu 0.674 0.016 0.347  0.31
Cu 0.326 0.984 0.653  0.31

Record 14
A relaxed structure of Ca3ReS. Source: the Alexandria database, functional GGA-PBE.

Computed properties:
- Raw total energy: -21.727 eV/f.u.
- Space group: Pm-3m (221)

abc: 5.272 5.272 5.272
angles: 90.00 90.00 90.00
Each line ends with the local moment (μB).
Fractional positions:
S 0.000 0.000 0.000  0.01
Ca 0.000 0.500 0.000  -0.02
Ca 0.000 0.000 0.500  -0.03
Ca 0.500 0.000 0.000  -0.05
Re 0.500 0.500 0.500  2.54

Record 15
A relaxed structure of CuHgTe2. Source: the Alexandria database, functional GGA-PBE.

Computed properties:
- Raw total energy: -10.181 eV/f.u.
- Space group: Cmcm (63)

abc: 13.472 13.472 4.402
angles: 90.00 90.00 163.93
Fractional positions:
Te 0.233 0.767 0.250
Te 0.112 0.888 0.750
Te 0.888 0.112 0.250
Te 0.767 0.233 0.750
Cu 0.538 0.462 0.750
Cu 0.462 0.538 0.250
Hg 0.959 0.041 0.750
Hg 0.041 0.959 0.250

Record 16
A relaxed structure of LaPm3Pu2Te6. Source: the Alexandria database, functional GGA-PBE.

Computed properties:
- Raw total energy: -82.873 eV/f.u.
- Space group: C2/m (12)

abc: 4.460 8.980 10.014
angles: 103.08 102.87 90.00
Each line ends with the local moment (μB).
Fractional positions:
Te 0.667 0.581 0.335  0.04
Te 0.331 0.913 0.661  0.03
Te 0.002 0.256 0.004  0.01
Te 0.333 0.419 0.665  0.04
Te 0.998 0.744 0.996  0.01
Te 0.669 0.087 0.339  0.03
Pu 0.167 0.334 0.334  -5.57
Pu 0.833 0.666 0.666  -5.57
La 0.500 0.000 0.000  -0.04
Pm 0.835 0.167 0.671  -0.01
Pm 0.500 0.500 0.000  -0.03
Pm 0.165 0.833 0.329  -0.01

Record 17
A relaxed structure of Pr2In2Sn3. Source: the Alexandria database, functional GGA-PBE.

Computed properties:
- Space group: I2_13 (199)
- Calculated formation energy: -406 meV/atom

abc: 8.173 8.173 8.173
angles: 109.47 109.47 109.47
Fractional positions:
Sn 0.014 0.264 0.250
Sn 0.736 0.750 0.986
Sn 0.250 0.986 0.236
Sn 0.750 0.514 0.264
Sn 0.764 0.250 0.514
Sn 0.486 0.236 0.750
In 0.000 0.000 0.862
In 0.362 0.500 0.000
In 0.138 0.638 0.638
In 0.500 0.862 0.500
Pr 0.976 0.500 0.000
Pr 0.000 0.000 0.476
Pr 0.500 0.476 0.500
Pr 0.524 0.024 0.024

Record 18
A relaxed structure of Ac2La6Pr5. Source: the Alexandria database, functional GGA-PBE.

Computed properties:
- Space group: Pbam (55)
- Calculated formation energy: 86 meV/atom

abc: 3.762 12.388 21.374
angles: 90.00 90.00 90.00
Fractional positions:
Pr 0.500 0.204 0.944
Pr 0.500 0.591 0.282
Pr 0.500 0.296 0.444
Pr 0.500 0.796 0.056
Pr 0.500 0.091 0.218
Pr 0.500 0.000 0.500
Pr 0.500 0.500 0.000
Pr 0.500 0.909 0.782
Pr 0.500 0.409 0.718
Pr 0.500 0.704 0.556
Ac 0.000 0.167 0.780
Ac 0.000 0.333 0.280
Ac 0.000 0.667 0.720
Ac 0.000 0.833 0.220
La 0.500 0.685 0.878
La 0.000 0.429 0.863
La 0.000 0.071 0.363
La 0.500 0.185 0.622
La 0.000 0.057 0.075
La 0.000 0.571 0.137
La 0.500 0.315 0.122
La 0.000 0.557 0.425
La 0.500 0.815 0.378
La 0.000 0.443 0.575
La 0.000 0.943 0.925
La 0.000 0.929 0.637

Record 19
A relaxed structure of Zr2ScBr. Source: the Alexandria database, functional GGA-PBE.

Computed properties:
- Raw total energy: -25.602 eV/f.u.
- Space group: Cmmm (65)

abc: 3.229 3.229 8.853
angles: 90.00 90.00 97.83
Fractional positions:
Sc 0.500 0.500 0.750
Zr 0.000 0.000 0.006
Zr 0.000 0.000 0.494
Br 0.500 0.500 0.250

Record 20
A relaxed structure of TaTi2CuN. Source: the Alexandria database, functional GGA-PBE.

Computed properties:
- Raw total energy: -43.325 eV/f.u.
- Space group: P4/mmm (123)

abc: 4.070 4.070 4.216
angles: 90.00 90.00 90.00
Fractional positions:
Ti 0.500 0.000 0.000
Ti 0.000 0.500 0.000
Cu 0.500 0.500 0.500
Ta 0.000 0.000 0.500
N 0.000 0.000 0.000

Record 21
A relaxed structure of Nd4Se3N2. Source: the Alexandria database, functional GGA-PBE.

Computed properties:
- Raw total energy: -61.773 eV/f.u.
- Space group: C2/c (15)

abc: 8.345 8.345 6.496
angles: 89.84 89.84 75.64
Fractional positions:
Se 0.253 0.516 0.965
Se 0.484 0.747 0.535
Se 0.516 0.253 0.465
Se 0.096 0.904 0.250
Se 0.747 0.484 0.035
Se 0.904 0.096 0.750
Nd 0.443 0.811 0.030
Nd 0.914 0.755 0.928
Nd 0.086 0.245 0.072
Nd 0.245 0.086 0.572
Nd 0.811 0.443 0.530
Nd 0.755 0.914 0.428
Nd 0.557 0.189 0.970
Nd 0.189 0.557 0.470
N 0.082 0.329 0.415
N 0.918 0.671 0.585
N 0.329 0.082 0.915
N 0.671 0.918 0.085

Record 22
A relaxed structure of Pr7Ho16Tm6. Source: the Alexandria database, functional GGA-PBE.

Computed properties:
- Space group: Fm-3m (225)
- Calculated formation energy: 192 meV/atom

abc: 11.022 11.022 11.022
angles: 60.00 60.00 60.00
Fractional positions:
Ho 0.850 0.850 0.450
Ho 0.450 0.850 0.850
Ho 0.612 0.612 0.163
Ho 0.850 0.450 0.850
Ho 0.612 0.163 0.612
Ho 0.150 0.150 0.150
Ho 0.150 0.550 0.150
Ho 0.837 0.388 0.388
Ho 0.388 0.388 0.837
Ho 0.163 0.612 0.612
Ho 0.388 0.837 0.388
Ho 0.388 0.388 0.388
Ho 0.612 0.612 0.612
Ho 0.850 0.850 0.850
Ho 0.550 0.150 0.150
Ho 0.150 0.150 0.550
Tm 0.226 0.774 0.774
Tm 0.226 0.774 0.226
Tm 0.774 0.226 0.226
Tm 0.774 0.226 0.774
Tm 0.774 0.774 0.226
Tm 0.226 0.226 0.774
Pr 0.500 0.500 0.000
Pr 0.000 0.000 0.000
Pr 0.500 0.000 0.000
Pr 0.000 0.500 0.000
Pr 0.500 0.000 0.500
Pr 0.000 0.500 0.500
Pr 0.000 0.000 0.500

Record 23
A relaxed structure of CaDy3Pd. Source: the Alexandria database, functional GGA-PBE.

Computed properties:
- Space group: Pm-3m (221)
- Calculated formation energy: -168 meV/atom

abc: 5.523 5.523 5.523
angles: 90.00 90.00 90.00
Fractional positions:
Ca 0.500 0.500 0.500
Dy 0.000 0.000 0.500
Dy 0.000 0.500 0.000
Dy 0.500 0.000 0.000
Pd 0.000 0.000 0.000